VASP calculation (PBE) on a relaxed InNi2I crystal.

Values from the calculation:
calculated total energy: -3.480 eV/atom
V: 71.7 Å³ per cell
DOS(E_F): 0.7 states/eV/f.u.
excess energy over the best structure of this formula in the dataset: 93.0 meV per atom
formation energy without anion corrections: 483.3 meV per atom

abc: 4.662 4.662 4.662
angles: 60.00 60.00 60.00
Fractional coordinates of all 4 atoms:
I  0.500  0.500  0.500
In  0.000  0.000  0.000
Ni  0.750  0.750  0.750
Ni  0.250  0.250  0.250